Entry 1:
VASP calculation (GGA-PBE) on a geometry-optimized ThNi6Pt2 structure.

Results
- energy of formation (eV/atom) = 0.40
- theoretical density (g/cm³) = 10.36
- V (Å³/f.u.) = 156.2

Cell: 10.771 10.771 10.771 Å, 90.00 90.00 90.00°
Space group Fd-3m (No. 227, origin choice 2)
Inequivalent atoms, fractional coordinates:
Th: 0.125 0.125 0.125 (multiplicity 8)
Ni: 0.116 0.375 0.375 (multiplicity 48)
Pt: 0.000 0.000 0.500 (multiplicity 16)

Entry 2:
VASP calculation (GGA-PBE) on a geometry-optimized ThNi2Pt5 structure.

Results
- energy of formation (eV/atom) = -0.45
- theoretical density (g/cm³) = 16.42
- V (Å³/f.u.) = 134.0

Cell: 3.841 7.578 9.207 Å, 90.00 90.00 90.00°
Space group Immm (No. 71)
Inequivalent atoms, fractional coordinates:
Th: 0.000 0.000 0.000 (multiplicity 2)
Ni: 0.000 0.500 0.278 (multiplicity 4)
Pt: 0.000 0.184 0.348 (multiplicity 8)
Pt: 0.000 0.500 0.000 (multiplicity 2)

Entry 3:
VASP calculation (GGA-PBE) on a geometry-optimized Th2Ni5Pt structure.

Results
- energy of formation (eV/atom) = -0.44
- theoretical density (g/cm³) = 12.12
- V (Å³/f.u.) = 130.5

Cell: 5.778 5.778 7.817 Å, 90.00 90.00 90.00°
Space group I4/mmm (No. 139)
Inequivalent atoms, fractional coordinates:
Th: 0.000 0.500 0.000 (multiplicity 4)
Ni: 0.000 0.000 0.000 (multiplicity 2)
Ni: 0.250 0.250 0.250 (multiplicity 8)
Pt: 0.000 0.000 0.500 (multiplicity 2)

Repeat the first record exactly.
VASP calculation (GGA-PBE) on a geometry-optimized ThNi6Pt2 structure.

Results
- energy of formation (eV/atom) = 0.40
- theoretical density (g/cm³) = 10.36
- V (Å³/f.u.) = 156.2

Cell: 10.771 10.771 10.771 Å, 90.00 90.00 90.00°
Space group Fd-3m (No. 227, origin choice 2)
Inequivalent atoms, fractional coordinates:
Th: 0.125 0.125 0.125 (multiplicity 8)
Ni: 0.116 0.375 0.375 (multiplicity 48)
Pt: 0.000 0.000 0.500 (multiplicity 16)